Compound: Ta2MnPt
Source: the Alexandria database
Functional: PBE-GGA
Structure: optimized geometry

Structure (POSCAR):
```
Ta2MnPt
1.0
3.8455 0.0000 0.0000
0.0000 2.8451 0.0161
0.0000 2.1838 5.7667
Mn Ta Pt
1 2 1
Direct
0.5000 0.2500 0.2500
0.0000 0.4530 0.4843
0.0000 0.0470 0.0157
0.5000 0.7500 0.7500
```

Summary:
SG: No. 10



Compound: LaPd3Ru
Source: the Alexandria database
Functional: PBE-GGA
Structure: optimized geometry

Structure (POSCAR):
```
LaPd3Ru
1.0
-2.2384 -4.1154 -1.9039
0.3926 -2.2911 4.4909
-4.5174 1.8401 1.3337
Pd Ru La
3 1 1
Direct
0.0000 0.5000 0.0000
0.5000 0.0000 0.0000
0.0000 0.0000 0.5000
0.5000 0.5000 0.5000
0.0000 0.0000 0.0000
```

Summary:
Excess energy over the best structure of this formula in the dataset in meV per atom: 950
SG: No. 221



Compound: K2ZnIr
Source: the Alexandria database
Functional: PBE-GGA
Structure: optimized geometry

Structure (POSCAR):
```
K2ZnIr
1.0
6.6067 -0.0001 -0.0003
-2.2868 5.1780 0.0036
2.0331 0.8977 2.9174
K Zn Ir
2 1 1
Direct
0.0000 0.0000 0.0000
0.5000 0.0000 0.5000
0.0000 0.5000 0.5000
0.5000 0.5000 0.0000
```

Summary:
SG: No. 65



Number 1: energy of formation from the pure elements -265 meV per atom, V 63.0 Å³/cell, total energy -39.977 eV/cell. Number 2: energy of formation from the pure elements 1218 meV per atom, V 129.3 Å³/cell, total energy -23.690 eV/cell. Number 3: energy of formation from the pure elements 693 meV per atom, V 99.8 Å³/cell, total energy -9.559 eV/cell.